Density functional theory data (GGA-PBE) for a relaxed Cs2CuIO crystal.

The structure in extended XYZ format:
```
10
Lattice="-0.055 1.717 -3.980 -7.596 -2.432 -0.944 0.488 9.914 4.271" Properties=species:S:1:pos:R:3 pbc="T T T"
Cs -5.886 5.704 -0.999
Cs -6.142 -0.399 -3.628
Cs -1.277 3.496 0.346
Cs -1.022 9.599 2.976
Cu -3.865 6.629 1.734
Cu -3.299 2.571 -2.386
I -4.887 1.786 -0.342
I -2.277 7.414 -0.311
O -5.699 6.697 1.788
O -1.464 2.503 -2.441
```

E_form (uncorrected): -4.8 eV per formula unit
Crystal system: monoclinic
Total DFT energy (no corrections): -3.417 eV per atom
Space group: P2_1/m
Offset from the most stable computed form: 63.3 meV/atom